Record 1
Entry from Alexandria via LeMat-Bulk: a relaxed structure of Sr3Cd2Hg (GGA-PBE).

Fermi-level density of states in states/eV/f.u.: 3.9
Energy above the lowest structure with this stoichiometry in meV/atom: 0

Unit cell a=5.7408 b=17.1883 c=4.0056 alpha=90.00 beta=90.00 gamma=90.00
Last column: nearest neighbours and their distance in Å.
Space group Cmmm (No. 65)
Unique sites:
Sr 0.0000 0.0000 0.0000  4 Hg 3.50, 4 Cd 3.55
Sr 0.0000 0.3364 0.0000  2 Hg 3.45, 6 Cd 3.49-3.50
Cd 0.0000 0.1703 0.5000  8 Sr 3.49-3.55
Hg 0.0000 0.5000 0.5000  8 Sr 3.45-3.50

---

Record 2
Entry from Alexandria via LeMat-Bulk: a relaxed structure of SrCd2Hg2 (GGA-PBE).

Fermi-level density of states in states/eV/f.u.: 2.7
Energy above the lowest structure with this stoichiometry in meV/atom: 0

Unit cell a=4.5474 b=4.5474 c=13.3464 alpha=90.00 beta=90.00 gamma=90.00
Last column: nearest neighbours and their distance in Å.
Space group I4/mmm (No. 139)
Unique sites:
Sr 0.0000 0.0000 0.0000  8 Hg 3.52
Cd 0.0000 0.5000 0.2500  4 Hg 2.96, 4 Cd 3.22
Hg 0.0000 0.0000 0.3926  1 Hg 2.87, 4 Cd 2.96

---

Record 3
Entry from Alexandria via LeMat-Bulk: a relaxed structure of Sr3Cd8Hg3 (GGA-PBE).

E_tot in eV per atom: -1.230
Fermi-level density of states in states/eV/f.u.: 5.0

Unit cell a=4.9731 b=10.3683 c=14.7492 alpha=90.00 beta=90.00 gamma=90.00
Last column: nearest neighbours and their distance in Å.
Space group Immm (No. 71)
Unique sites:
Sr 0.0000 0.0000 0.0000  12 Cd 3.51-3.84, 4 Hg 3.84
Sr 0.0000 0.0000 0.3120  10 Cd 3.47-3.76, 4 Hg 3.58-3.72
Cd 0.0000 0.2807 0.1328  3 Cd 2.95-2.99, 3 Hg 3.00-3.17
Cd 0.0000 0.3619 0.3274  4 Cd 2.86-2.99, 1 Hg 2.95
Hg 0.0000 0.2177 0.5000  6 Cd 2.95-3.17
Hg 0.0000 0.5000 0.0000  4 Cd 3.00, 4 Hg 3.36

---

Record 4
Entry from Alexandria via LeMat-Bulk: a relaxed structure of SrCdHg (GGA-PBE).

E_tot in eV per atom: -1.390
Fermi-level density of states in states/eV/f.u.: 2.3

Unit cell a=11.6421 b=5.0793 c=7.8982 alpha=90.00 beta=131.03 gamma=90.00
Last column: nearest neighbours and their distance in Å.
Space group C2/m (No. 12)
Unique sites:
Sr 0.0384 0.0000 0.2919  6 Hg 3.42-3.72, 6 Cd 3.52-3.63
Cd 0.1633 0.5000 0.1154  3 Hg 2.95-3.25, 1 Cd 2.95
Hg 0.1670 0.5000 0.7073  3 Cd 2.95-3.25, 1 Hg 3.02